# PrSnSe3

PrSnSe3 after structural relaxation (GGA-PBE, Alexandria via LeMat-Bulk).

Cell lengths 4.1449, 8.4606, 15.0734 Å; angles 90.00, 90.00, 90.00 degrees
Last column: nearest neighbours and their distance in Å.
Element x y z (fractional)
Pr1 0.7500 0.8581 0.8088  8 Se 3.06-3.22
Pr2 0.2500 0.1419 0.1912  8 Se 3.06-3.22
Pr3 0.7500 0.3581 0.6912  8 Se 3.06-3.22
Pr4 0.2500 0.6419 0.3088  8 Se 3.06-3.22
Sn1 0.2500 0.3194 0.9493  6 Se 2.79-2.99
Sn2 0.2500 0.8194 0.5507  6 Se 2.79-2.99
Sn3 0.7500 0.1806 0.4493  6 Se 2.79-2.99
Sn4 0.7500 0.6806 0.0507  6 Se 2.79-2.99
Se1 0.2500 0.3513 0.5421  2 Sn 2.89, 2 Pr 3.06
Se2 0.7500 0.8528 0.2082  1 Sn 2.79
Se3 0.7500 0.5086 0.8775  3 Sn 2.83-2.99, 2 Pr 3.08-3.13
Se4 0.7500 0.0086 0.6225  3 Sn 2.83-2.99, 2 Pr 3.08-3.13
Se5 0.7500 0.6487 0.4579  2 Sn 2.89, 2 Pr 3.06
Se6 0.2500 0.9914 0.3775  3 Sn 2.83-2.99, 2 Pr 3.08-3.13
Se7 0.2500 0.8513 0.9579  2 Sn 2.89, 2 Pr 3.06
Se8 0.7500 0.3528 0.2918  1 Sn 2.79
Se9 0.2500 0.6472 0.7082  1 Sn 2.79
Se10 0.2500 0.1472 0.7918  1 Sn 2.79
Se11 0.7500 0.1487 0.0421  2 Sn 2.89, 2 Pr 3.06
Se12 0.2500 0.4914 0.1225  3 Sn 2.83-2.99, 2 Pr 3.08-3.13

Formation energy without anion corrections: -5.40 eV per formula unit
Total energy: -98.538 eV per cell
DOS(E_F): 5.24 states/eV per cell
Density: 6.24 g/cm³
Crystal system: orthorhombic